Record 1
Pm3I7F (GGA-PBE, relaxed); raw formation energy = -1.6180 eV per atom; SG = No. 156; VASP energy = -44.8 eV per cell; calculated density = 4.49 g cm⁻³
1.0
8.5902 0.0000 0.0000
-4.2951 7.4393 0.0000
0.0000 0.0000 7.7763
Pm I F
3 7 1
Cartesian
-2.0444 3.7792 0.0000 Pm
2.0444 3.7792 0.0000 Pm
0.0000 7.3203 0.0000 Pm
0.0000 2.4323 1.9036 I
-2.1887 6.2232 1.9036 I
2.1489 1.2406 5.9412 I
4.2951 2.4798 1.8216 I
2.1886 6.2232 1.9036 I
6.4413 1.2406 5.9412 I
4.2951 4.9580 5.9412 I
0.0000 4.9595 7.1116 F

=====

Record 2
PmIF (GGA-PBE, relaxed); raw formation energy = -2.2639 eV per atom; SG = No. 6; VASP energy = -29.9 eV per cell; calculated density = 5.86 g cm⁻³
1.0
6.1149 0.0000 0.0000
0.0000 4.1750 0.0000
-0.0567 0.0000 6.4578
Pm I F
2 2 2
Cartesian
0.0000 0.0000 0.0000 Pm
1.3473 2.0875 2.9715 Pm
3.1455 0.0000 1.3237 I
4.5391 2.0875 4.4155 I
0.6153 2.0875 0.6460 F
1.3214 0.0000 4.6042 F

=====

Record 3
PmI3F (GGA-PBE, relaxed); raw formation energy = -1.7358 eV per atom; SG = No. 12; VASP energy = -39.9 eV per cell; calculated density = 4.56 g cm⁻³
1.0
5.3080 -4.8265 0.0000
5.3080 4.8265 0.0000
-4.7036 0.0000 7.7476
Pm I F
2 6 2
Cartesian
1.8490 0.0000 0.2924 Pm
4.0634 0.0000 7.4552 Pm
-1.0020 1.8906 6.2336 I
1.8305 0.0000 4.7046 I
-1.0020 -1.8906 6.2336 I
6.9144 1.8906 1.5139 I
4.0818 0.0000 3.0430 I
6.9144 -1.8906 1.5139 I
-0.2534 0.0000 1.2527 F
6.1658 0.0000 6.4948 F

=====

Record 4
Pm2SeIF2 (GGA-PBE, relaxed); raw formation energy = -2.5884 eV per atom; SG = No. 164; VASP energy = -33.8 eV per cell; calculated density = 6.69 g cm⁻³
1.0
4.1410 0.0000 0.0000
-2.0705 3.5862 0.0000
0.0000 0.0000 8.9199
Pm Se I F
2 1 1 2
Cartesian
0.0000 2.3908 1.8556 Pm
2.0705 1.1954 7.0643 Pm
0.0000 0.0000 0.0000 Se
0.0000 0.0000 4.4600 I
0.0000 2.3908 6.7538 F
2.0705 1.1954 2.1661 F

=====

Record 5
PrIF (GGA-PBE, relaxed); raw formation energy = -2.2225 eV per atom; SG = No. 156; VASP energy = -14.9 eV per cell; calculated density = 6.38 g cm⁻³
1.0
4.2767 0.0000 0.0000
-2.1383 3.7037 0.0000
0.0000 0.0000 4.7164
Pr I F
1 1 1
Cartesian
0.0000 0.0000 0.0000 Pr
2.1384 1.2346 2.5828 I
0.0000 2.4692 0.3058 F

=====

Record 6
PrIF2 (GGA-PBE, relaxed); raw formation energy = -3.0714 eV per atom; SG = No. 62; VASP energy = -178.9 eV per cell; calculated density = 5.48 g cm⁻³
1.0
16.2079 0.0000 0.0000
0.0000 7.2929 0.0000
0.0000 0.0000 6.2766
Pr I F
8 8 16
Cartesian
1.1345 1.8232 0.1905 Pr
2.6551 5.4697 1.0703 Pr
5.4489 1.8232 4.2086 Pr
6.9695 5.4697 3.3289 Pr
9.2385 1.8232 2.9478 Pr
10.7590 5.4697 2.0680 Pr
13.5528 1.8232 5.2064 Pr
15.0734 5.4697 6.0861 Pr
1.6473 5.4697 4.2117 I
2.3132 1.8232 3.3261 I
5.7908 5.4697 0.1878 I
6.4567 1.8232 1.0734 I
9.7512 5.4697 5.2032 I
10.4171 1.8232 6.0888 I
13.8948 5.4697 2.9505 I
14.5606 1.8232 2.0649 I
0.6579 4.1724 0.9686 F
0.6579 6.7670 0.9686 F
2.9917 0.3464 0.2484 F
2.9917 3.3001 0.2484 F
5.1123 3.9928 3.3867 F
5.1123 6.9465 3.3867 F
7.4461 0.5259 4.1069 F
7.4461 3.1205 4.1069 F
8.7619 4.1724 2.1697 F
8.7619 6.7670 2.1697 F
11.0956 0.3464 2.8899 F
11.0956 3.3001 2.8899 F
13.2162 3.9928 6.0282 F
13.2162 6.9465 6.0282 F
15.5500 0.5259 5.3080 F
15.5500 3.1205 5.3080 F

=====

Record 7
PrIF (GGA-PBE, relaxed); raw formation energy = -2.3035 eV per atom; SG = No. 12; VASP energy = -30.2 eV per cell; calculated density = 5.48 g cm⁻³
1.0
6.4048 -2.0420 0.0000
6.4048 2.0420 0.0000
-1.6155 0.0000 6.6512
Pr I F
2 2 2
Cartesian
2.5950 0.0000 1.5511 Pr
8.5991 0.0000 5.1001 Pr
-0.3216 0.0000 5.2228 I
11.5156 0.0000 1.4284 I
3.0411 0.0000 4.0256 F
8.1530 0.0000 2.6256 F

=====

Record 8
PrIF2 (GGA-PBE, relaxed); raw formation energy = -3.0793 eV per atom; SG = No. 166; VASP energy = -22.4 eV per cell; calculated density = 5.97 g cm⁻³
1.0
2.0760 1.1986 5.6969
-2.0760 1.1986 5.6969
0.0000 -2.3971 5.6969
Pr I F
1 1 2
Cartesian
0.0000 0.0000 0.0000 Pr
0.0000 0.0000 8.5454 I
0.0000 0.0000 5.2292 F
0.0000 0.0000 11.8615 F

=====

Record 9
PrI2F (GGA-PBE, relaxed); raw formation energy = -2.3341 eV per atom; SG = No. 8; VASP energy = -19.1 eV per cell; calculated density = 5.09 g cm⁻³
1.0
3.7045 -2.1386 0.0000
3.7045 2.1386 0.0000
-2.3521 0.0000 8.5172
Pr I F
1 2 1
Cartesian
0.0000 0.0000 0.0000 Pr
2.5879 0.0000 6.3003 I
4.9391 0.0000 2.2166 I
0.1178 0.0000 8.5171 F

=====

Record 10
PrIF (GGA-PBE, relaxed); raw formation energy = -2.0659 eV per atom; SG = No. 107; VASP energy = -14.4 eV per cell; calculated density = 6.42 g cm⁻³
1.0
-1.8168 1.8168 5.6192
1.8168 -1.8168 5.6192
1.8168 1.8168 -5.6192
Pr I F
1 1 1
Cartesian
0.0000 0.0000 0.0000 Pr
0.0000 0.0000 3.5166 I
0.0000 0.0000 6.5539 F

=====

Record 11
Pr2I5F (GGA-PBE, relaxed); raw formation energy = -1.5967 eV per atom; SG = No. 63; VASP energy = -63.9 eV per cell; calculated density = 4.50 g cm⁻³
1.0
1.9497 -8.0567 0.0000
1.9497 8.0567 0.0000
0.0000 0.0000 21.9553
Pr I F
4 10 2
Cartesian
1.9497 4.1025 14.5337 Pr
1.9497 4.1025 18.3993 Pr
1.9497 -4.1025 3.5560 Pr
1.9497 -4.1025 7.4216 Pr
1.9497 6.2798 2.6968 I
1.9497 6.2798 8.2809 I
1.9497 2.4852 1.5856 I
1.9497 2.4852 9.3920 I
1.9497 1.6822 5.4888 I
1.9497 -1.6822 16.4665 I
1.9497 -2.4852 12.5633 I
1.9497 -2.4852 20.3697 I
1.9497 -6.2798 13.6744 I
1.9497 -6.2798 19.2585 I
1.9497 4.5912 5.4888 F
1.9497 -4.5912 16.4665 F

=====

Record 12
PrIF2 (GGA-PBE, relaxed); raw formation energy = -3.1493 eV per atom; SG = No. 63; VASP energy = -45.3 eV per cell; calculated density = 5.71 g cm⁻³
1.0
2.0181 -5.9957 0.0000
2.0181 5.9957 0.0000
0.0000 0.0000 7.3552
Pr I F
2 2 4
Cartesian
2.0181 3.1144 5.5164 Pr
2.0181 -3.1144 1.8388 Pr
2.0181 5.4702 1.8388 I
2.0181 -5.4702 5.5164 I
2.0181 2.3603 0.5274 F
2.0181 2.3603 3.1502 F
2.0181 -2.3603 4.2050 F
2.0181 -2.3603 6.8278 F